[1]
An optimized crystal structure of Y2CoPt. Source: OQMD via LeMat-Bulk, functional GGA-PBE.

Properties
energy of formation from the pure elements: -683 meV per atom
size of the total moment: 0.0 μB/f.u.

Cell lengths 4.1535, 5.6193, 7.2826 Å; angles 90.00, 90.00, 90.00 degrees
Sites, in units of the cell vectors:
Y (0.0000, 0.1211, 0.0000)
Y (0.0000, 0.8789, 0.5000)
Y (0.5000, 0.3716, 0.3535)
Y (0.5000, 0.6284, 0.8535)
Co (0.5000, 0.1108, 0.7172)
Co (0.5000, 0.8892, 0.2172)
Pt (0.0000, 0.3766, 0.6416)
Pt (0.0000, 0.6234, 0.1416)

[2]
An optimized crystal structure of HoBiB4. Source: OQMD via LeMat-Bulk, functional GGA-PBE.

Properties
ΔE to the lowest computed polymorph: 0.000 eV per atom
size of the total moment: 0.0 μB/f.u.

Cell lengths 3.2732, 3.2732, 8.0885 Å; angles 90.00, 90.00, 120.00 degrees
Sites, in units of the cell vectors:
Ho (0.0000, 0.0000, 0.0000)
Bi (0.0000, 0.0000, 0.5000)
B (0.3333, 0.6667, 0.2297)
B (0.3333, 0.6667, 0.7703)
B (0.6667, 0.3333, 0.2297)
B (0.6667, 0.3333, 0.7703)

[3]
An optimized crystal structure of ScUTc. Source: OQMD via LeMat-Bulk, functional GGA-PBE.

Properties
energy of formation from the pure elements: 870 meV per atom
size of the total moment: 1.6 μB/f.u.

Cell lengths 4.4974, 4.4974, 4.4974 Å; angles 60.00, 60.00, 60.00 degrees
Sites, in units of the cell vectors:
Sc (0.0000, 0.0000, 0.0000)
U (0.2500, 0.2500, 0.2500)
Tc (0.5000, 0.5000, 0.5000)

[4]
An optimized crystal structure of Ho3Mg3Al2Pd. Source: OQMD via LeMat-Bulk, functional GGA-PBE.

Properties
energy: -3.887 eV/atom
size of the total moment: 0.0 μB/f.u.

Cell lengths 7.3530, 7.3530, 4.3840 Å; angles 90.00, 90.00, 120.00 degrees
Sites, in units of the cell vectors:
Ho (0.0000, 0.4111, 0.0000)
Ho (0.4111, 0.0000, 0.0000)
Ho (0.5889, 0.5889, 0.0000)
Mg (0.0000, 0.7621, 0.5000)
Mg (0.2379, 0.2379, 0.5000)
Mg (0.7621, 0.0000, 0.5000)
Al (0.3333, 0.6667, 0.5000)
Al (0.6667, 0.3333, 0.5000)
Pd (0.0000, 0.0000, 0.0000)

[5]
An optimized crystal structure of GaCuAsIr. Source: OQMD via LeMat-Bulk, functional GGA-PBE.

Properties
ΔE to the lowest computed polymorph: 0.000 eV per atom
size of the total moment: 0.0 μB/f.u.

Cell lengths 4.3828, 4.3828, 4.3828 Å; angles 60.00, 60.00, 60.00 degrees
Sites, in units of the cell vectors:
Ga (0.0000, 0.0000, 0.0000)
Cu (0.2500, 0.2500, 0.2500)
As (0.5000, 0.5000, 0.5000)
Ir (0.7500, 0.7500, 0.7500)

[6]
An optimized crystal structure of LiZn2Pt. Source: OQMD via LeMat-Bulk, functional GGA-PBE.

Properties
energy: -3.043 eV/atom
size of the total moment: 0.0 μB/f.u.

Cell lengths 4.2232, 4.2232, 7.5694 Å; angles 90.00, 90.00, 120.00 degrees
Sites, in units of the cell vectors:
Li (0.0000, 0.0000, 0.0000)
Li (0.0000, 0.0000, 0.5000)
Zn (0.3333, 0.6667, 0.0908)
Zn (0.3333, 0.6667, 0.4092)
Zn (0.6667, 0.3333, 0.5908)
Zn (0.6667, 0.3333, 0.9092)
Pt (0.3333, 0.6667, 0.7500)
Pt (0.6667, 0.3333, 0.2500)

[7]
An optimized crystal structure of NdSm2Ta2N6. Source: OQMD via LeMat-Bulk, functional GGA-PBE.

Properties
energy: -9.342 eV/atom
size of the total moment: 0.0 μB/f.u.

Cell lengths 10.1628, 10.1628, 10.1628 Å; angles 157.08, 157.08, 32.63 degrees
Sites, in units of the cell vectors:
Nd (0.0000, 0.0000, 0.0000)
Sm (0.1792, 0.1792, 0.0000)
Sm (0.8208, 0.8208, 0.0000)
Ta (0.3979, 0.3979, 0.0000)
Ta (0.6021, 0.6021, 0.0000)
N (0.0856, 0.5856, 0.5000)
N (0.2984, 0.2984, 0.0000)
N (0.4144, 0.9144, 0.5000)
N (0.5856, 0.0856, 0.5000)
N (0.7016, 0.7016, 0.0000)
N (0.9144, 0.4144, 0.5000)

[8]
An optimized crystal structure of Rb2LiCdF6. Source: OQMD via LeMat-Bulk, functional GGA-PBE.

Properties
ΔE to the lowest computed polymorph: 0.014 eV per atom

Cell lengths 5.7955, 5.7955, 5.7955 Å; angles 60.05, 60.05, 60.05 degrees
Sites, in units of the cell vectors:
Rb (0.2500, 0.2500, 0.2500)
Rb (0.7500, 0.7500, 0.7500)
Li (0.0000, 0.0000, 0.0000)
Cd (0.5000, 0.5000, 0.5000)
F (0.2401, 0.2401, 0.7591)
F (0.2401, 0.7591, 0.2401)
F (0.2409, 0.7599, 0.7599)
F (0.7591, 0.2401, 0.2401)
F (0.7599, 0.2409, 0.7599)
F (0.7599, 0.7599, 0.2409)